Below is crystalline MgTa2F at its relaxed geometry, with properties calculated at the PBE-GGA level.

Geometry as POSCAR:
```
MgTa2F
1.0
0.000 3.229 3.229
3.229 0.000 3.229
3.229 3.229 0.000
Mg Ta F
1 2 1
Direct
0.000 0.000 0.000
0.250 0.250 0.250
0.750 0.750 0.750
0.500 0.500 0.500
```

Values from the calculation:
**Formation energy from raw total energies**: 0.6235 eV per atom
**E_tot**: -24.68 eV for the cell shown
**Offset from the most stable computed form**: 0.00 kcal/mol of atoms
**Density of states at the Fermi level**: 9.64 states/eV/f.u.
**Symmetry**: Fm-3m

Below is crystalline CrCdPH2 at its relaxed geometry, with properties calculated at the PBE-GGA level.

Geometry as POSCAR:
```
CrCdPH2
1.0
3.518 0.000 0.000
0.000 3.518 0.000
0.000 0.000 6.258
Cr Cd P H
1 1 1 2
Direct
0.000 0.000 0.000
0.500 0.500 0.500
0.500 0.500 0.000
0.000 0.500 0.500
0.500 0.000 0.500
```

Values from the calculation:
**E_tot**: -20.73 eV for the cell shown
**Density of states at the Fermi level**: 1.42 states/eV/f.u.
**Symmetry**: P4/mmm

Below is crystalline RbRe3W at its relaxed geometry, with properties calculated at the PBE-GGA level.

Geometry as POSCAR:
```
RbRe3W
1.0
4.913 0.000 0.000
0.000 4.913 0.000
0.000 0.000 4.913
Rb Re W
1 3 1
Direct
0.000 0.000 0.000
0.000 0.500 0.500
0.500 0.000 0.500
0.500 0.500 0.000
0.500 0.500 0.500
```

Values from the calculation:
**E_tot**: -39.79 eV for the cell shown
**Offset from the most stable computed form**: 0.00 kcal/mol of atoms
**Density of states at the Fermi level**: 4.77 states/eV/f.u.
**Symmetry**: Pm-3m
**E_form**: 11.48 eV/f.u.

Below is crystalline MgAlSnBi at its relaxed geometry, with properties calculated at the PBE-GGA level.

Geometry as POSCAR:
```
MgAlSnBi
1.0
0.000 3.674 3.674
3.674 0.000 3.674
3.674 3.674 0.000
Mg Al Sn Bi
1 1 1 1
Direct
0.000 0.000 0.000
0.500 0.500 0.500
0.250 0.250 0.250
0.750 0.750 0.750
```

Values from the calculation:
**E_tot**: -12.83 eV for the cell shown
**Density of states at the Fermi level**: 2.24 states/eV/f.u.
**Symmetry**: F-43m
**E_form**: 0.39 eV/f.u.

Below is crystalline Er7Mg2Rh2 at its relaxed geometry, with properties calculated at the PBE-GGA level.

Geometry as POSCAR:
```
Er7Mg2Rh2
1.0
4.024 -5.432 0.000
4.024 5.432 0.000
0.000 0.000 7.135
Er Mg Rh
7 2 2
Direct
0.000 0.000 0.000
0.000 0.500 0.248
0.000 0.500 0.752
0.500 0.000 0.248
0.500 0.000 0.752
0.500 0.500 0.241
0.500 0.500 0.759
0.173 0.173 0.500
0.827 0.827 0.500
0.286 0.714 0.000
0.714 0.286 0.000
```

Values from the calculation:
**E_tot**: -52.53 eV for the cell shown
**Density of states at the Fermi level**: 11.25 states/eV/f.u.
**Symmetry**: Cmmm
**E_form**: -2.70 eV/f.u.

Below is crystalline CdGa2Pd2 at its relaxed geometry, with properties calculated at the PBE-GGA level.

Geometry as POSCAR:
```
CdGa2Pd2
1.0
7.324 0.000 0.000
0.000 7.324 0.000
0.000 0.000 3.048
Cd Ga Pd
2 4 4
Direct
0.000 0.000 0.000
0.500 0.500 0.000
0.133 0.367 0.000
0.367 0.867 0.000
0.633 0.133 0.000
0.867 0.633 0.000
0.162 0.662 0.500
0.338 0.162 0.500
0.662 0.838 0.500
0.838 0.338 0.500
```

Values from the calculation:
**E_tot**: -39.13 eV for the cell shown
**Offset from the most stable computed form**: 0.32 kcal/mol of atoms
**Density of states at the Fermi level**: 0.72 states/eV/f.u.
**Symmetry**: P4/mbm
**E_form**: -2.21 eV/f.u.

Below is crystalline Tb2Nd5DyHo at its relaxed geometry, with properties calculated at the PBE-GGA level.

Geometry as POSCAR:
```
Tb2Nd5DyHo
1.0
2.833 -10.213 0.000
2.833 10.213 0.000
0.000 0.000 10.710
Tb Nd Dy Ho
4 10 2 2
Direct
0.113 0.887 0.500
0.115 0.885 0.074
0.885 0.115 0.574
0.887 0.113 0.000
0.016 0.984 0.780
0.279 0.721 0.075
0.297 0.703 0.469
0.385 0.615 0.784
0.483 0.517 0.506
0.517 0.483 0.006
0.615 0.385 0.284
0.703 0.297 0.969
0.721 0.279 0.575
0.984 0.016 0.280
0.199 0.801 0.773
0.801 0.199 0.273
0.408 0.592 0.224
0.592 0.408 0.724
```

Values from the calculation:
**E_tot**: -82.03 eV for the cell shown
**Density of states at the Fermi level**: 14.18 states/eV/f.u.
**Symmetry**: Cmc2_1
**E_form**: 1.27 eV/f.u.

Below is crystalline BIrC at its relaxed geometry, with properties calculated at the PBE-GGA level.

Geometry as POSCAR:
```
BIrC
1.0
2.397 -1.522 0.000
2.397 1.522 0.000
-1.493 0.000 4.265
B Ir C
1 1 1
Direct
0.000 0.000 0.000
0.437 0.437 0.362
0.872 0.872 0.647
```

Values from the calculation:
**E_tot**: -23.32 eV for the cell shown
**Offset from the most stable computed form**: 5.87 kcal/mol of atoms
**Density of states at the Fermi level**: 0.56 states/eV/f.u.
**Symmetry**: Cm
**E_form**: 1.44 eV/f.u.

Below is crystalline SrZnPd2C at its relaxed geometry, with properties calculated at the PBE-GGA level.

Geometry as POSCAR:
```
SrZnPd2C
1.0
4.181 0.000 0.000
0.000 4.181 0.000
0.000 0.000 5.384
Sr Zn Pd C
1 1 2 1
Direct
0.000 0.000 0.000
0.500 0.500 0.000
0.000 0.500 0.500
0.500 0.000 0.500
0.000 0.000 0.500
```

Values from the calculation:
**E_tot**: -21.25 eV for the cell shown
**Density of states at the Fermi level**: 3.90 states/eV/f.u.
**Symmetry**: P4/mmm
**E_form**: 1.32 eV/f.u.

Below is crystalline MnGeAs at its relaxed geometry, with properties calculated at the PBE-GGA level.

Geometry as POSCAR:
```
MnGeAs
1.0
4.239 -2.873 0.000
4.239 2.873 0.000
-3.172 0.000 4.136
Mn Ge As
2 2 2
Direct
0.000 0.000 0.000
0.000 0.000 0.500
0.368 0.631 0.249
0.631 0.368 0.749
0.500 0.999 0.999
0.999 0.500 0.499
```

Values from the calculation:
**E_tot**: -35.96 eV for the cell shown
**Offset from the most stable computed form**: 4.80 kcal/mol of atoms
**Density of states at the Fermi level**: 1.94 states/eV/f.u.
**Symmetry**: Cc
**E_form**: 0.45 eV/f.u.

Below is crystalline Ga3BiPt3 at its relaxed geometry, with properties calculated at the PBE-GGA level.

Geometry as POSCAR:
```
Ga3BiPt3
1.0
6.876 0.000 0.000
0.000 6.876 0.000
0.000 0.000 6.876
Ga Bi Pt
6 2 6
Direct
0.000 0.250 0.500
0.000 0.750 0.500
0.250 0.500 0.000
0.500 0.000 0.250
0.500 0.000 0.750
0.750 0.500 0.000
0.000 0.000 0.000
0.500 0.500 0.500
0.000 0.500 0.250
0.000 0.500 0.750
0.250 0.000 0.500
0.500 0.250 0.000
0.500 0.750 0.000
0.750 0.000 0.500
```

Values from the calculation:
**E_tot**: -63.50 eV for the cell shown
**Density of states at the Fermi level**: 4.29 states/eV/f.u.
**Symmetry**: Pm-3n
**E_form**: -0.67 eV/f.u.

Below is crystalline SbIrPb2 at its relaxed geometry, with properties calculated at the PBE-GGA level.

Geometry as POSCAR:
```
SbIrPb2
1.0
3.194 -4.454 0.000
3.194 4.454 0.000
0.000 0.000 3.429
Sb Ir Pb
1 1 2
Direct
0.000 0.000 0.000
0.500 0.500 0.000
0.000 0.500 0.500
0.500 0.000 0.500
```

Values from the calculation:
**Formation energy from raw total energies**: 0.5199 eV per atom
**E_tot**: -18.32 eV for the cell shown
**Density of states at the Fermi level**: 2.73 states/eV/f.u.
**Symmetry**: Cmmm

Among the records above, which one has the highest E_tot?
MgAlSnBi

What did the fifth record say?
Below is crystalline Er7Mg2Rh2 at its relaxed geometry, with properties calculated at the PBE-GGA level.

Geometry as POSCAR:
```
Er7Mg2Rh2
1.0
4.024 -5.432 0.000
4.024 5.432 0.000
0.000 0.000 7.135
Er Mg Rh
7 2 2
Direct
0.000 0.000 0.000
0.000 0.500 0.248
0.000 0.500 0.752
0.500 0.000 0.248
0.500 0.000 0.752
0.500 0.500 0.241
0.500 0.500 0.759
0.173 0.173 0.500
0.827 0.827 0.500
0.286 0.714 0.000
0.714 0.286 0.000
```

Values from the calculation:
**E_tot**: -52.53 eV for the cell shown
**Density of states at the Fermi level**: 11.25 states/eV/f.u.
**Symmetry**: Cmmm
**E_form**: -2.70 eV/f.u.

Which of these has the highest E_tot?
MgAlSnBi